Entry 1:
Pm3Ag3PdO8 PBE relaxed; final energy = -6.150 eV/atom; ΔE_f (raw) = -37.8 kcal/mol of atoms
1.0
3.5115 2.0274 5.5984
-3.5115 2.0274 5.5984
0.0000 -4.0547 5.5984
Pm Ag Pd O
3 3 1 8
Direct
0.0000 0.5000 0.5000 Pm
0.5000 0.0000 0.5000 Pm
0.5000 0.5000 0.0000 Pm
0.0000 0.0000 0.5000 Ag
0.0000 0.5000 0.0000 Ag
0.5000 0.0000 0.0000 Ag
0.0000 0.0000 0.0000 Pd
0.2124 0.2124 0.7713 O
0.2124 0.7713 0.2124 O
0.2287 0.7876 0.7876 O
0.2698 0.2698 0.2698 O
0.7302 0.7302 0.7302 O
0.7713 0.2124 0.2124 O
0.7876 0.2287 0.7876 O
0.7876 0.7876 0.2287 O

***

Entry 2:
InGeCl3 PBE relaxed; final energy = -3.374 eV/atom; ΔE_f (raw) = -18.3 kcal/mol of atoms
1.0
6.1338 0.0000 0.0000
1.1215 6.0775 0.0000
1.2801 0.7470 9.3262
In Ge Cl
2 2 6
Direct
0.0000 0.0000 0.0000 In
0.2256 0.5032 0.5439 In
0.4868 0.5166 0.0241 Ge
0.6776 0.0315 0.5445 Ge
0.0543 0.0086 0.5925 Cl
0.1830 0.4978 0.8949 Cl
0.2425 0.6606 0.2184 Cl
0.5393 0.8714 0.9204 Cl
0.7073 0.6462 0.5315 Cl
0.7311 0.1271 0.2985 Cl

***

Entry 3:
LaAgHg2 PBE relaxed; final energy = -2.343 eV/atom; E_form = -0.25 eV/atom
1.0
3.5041 0.0000 0.0000
0.0000 4.9742 0.0000
-0.0132 0.0000 6.0349
La Ag Hg
1 1 2
Direct
0.0000 0.0000 0.0000 La
0.5000 0.0000 0.5000 Ag
0.4983 0.5000 0.7449 Hg
0.5017 0.5000 0.2551 Hg